No. 1
# PBE-GGA Tl4CO5, relaxed
data_Tl4CO5
_symmetry_space_group_name_H-M 'C m c 21'
_symmetry_Int_Tables_number 36
_cell_length_a 12.8110
_cell_length_b 8.2194
_cell_length_c 8.3078
_cell_angle_alpha 90.00
_cell_angle_beta 90.00
_cell_angle_gamma 90.00
loop_
_symmetry_equiv_pos_as_xyz
'x,y,z'
'-x,-y,z+1/2'
'-x,y,z'
'x,-y,z+1/2'
'x+1/2,y+1/2,z'
'-x+1/2,-y+1/2,z+1/2'
'-x+1/2,y+1/2,z'
'x+1/2,-y+1/2,z+1/2'
loop_
_atom_site_label
_atom_site_fract_x
_atom_site_fract_y
_atom_site_fract_z
Tl1 0.0000 0.1010 0.0000
Tl2 0.0000 0.2965 0.6549
Tl3 0.2304 0.4082 0.9614
C1 0.0000 0.3606 0.3252
O1 0.0000 0.4054 0.1757
O2 0.0875 0.3373 0.4032
O3 0.1228 0.2256 0.8170
# energy = -5.176 eV/atom
# uncorrected formation energy = -828 meV/atom



No. 2
# PBE-GGA Na2PuUN4, relaxed
data_Na2PuUN4
_symmetry_space_group_name_H-M 'P 1 2/m 1'
_symmetry_Int_Tables_number 10
_cell_length_a 6.0045
_cell_length_b 3.5034
_cell_length_c 6.0917
_cell_angle_alpha 90.00
_cell_angle_beta 110.31
_cell_angle_gamma 90.00
loop_
_symmetry_equiv_pos_as_xyz
'x,y,z'
'-x,-y,-z'
'-x,y,-z'
'x,-y,z'
loop_
_atom_site_label
_atom_site_fract_x
_atom_site_fract_y
_atom_site_fract_z
Na1 0.0000 0.0000 0.0000
Na2 0.0000 0.5000 0.5000
Pu1 0.5000 0.0000 0.5000
U1 0.5000 0.5000 0.0000
N1 0.3167 0.0000 0.7876
N2 0.3229 0.5000 0.2634
# DOS(E_F) = 9.89 states/eV/f.u.
# energy = -8.648 eV/atom
# uncorrected formation energy = -953 meV/atom



No. 3
# PBE-GGA CeHf2Zr4, relaxed
data_CeHf2Zr4
_symmetry_space_group_name_H-M 'P 1'
_symmetry_Int_Tables_number 1
_cell_length_a 6.3058
_cell_length_b 7.7103
_cell_length_c 8.0177
_cell_angle_alpha 114.50
_cell_angle_beta 101.38
_cell_angle_gamma 101.86
loop_
_symmetry_equiv_pos_as_xyz
'x,y,z'
loop_
_atom_site_label
_atom_site_fract_x
_atom_site_fract_y
_atom_site_fract_z
Ce1 0.0000 0.0000 0.0000
Ce2 0.3600 0.5839 0.8671
Hf1 0.2862 0.8538 0.2913
Hf2 0.4696 0.1577 0.7188
Hf3 0.6799 0.2821 0.4360
Hf4 0.7879 0.8550 0.2886
Zr1 0.0774 0.7323 0.5757
Zr2 0.1821 0.2821 0.4344
Zr3 0.3978 0.4314 0.1509
Zr4 0.5045 0.0066 0.0069
Zr5 0.5715 0.7262 0.5753
Zr6 0.8555 0.5762 0.8659
Zr7 0.8977 0.4292 0.1546
Zr8 0.9704 0.1545 0.7192
# DOS(E_F) = 9.39 states/eV/f.u.
# energy = -8.497 eV/atom
# DFT formation energy = 0.079 eV per atom